#a
Hf2TiCuO: relaxed, PBE. Values from VASP.

Values from the calculation:
ρ in kg/m3: 8124
SG: P4/mmm, No. 123
Size of the total moment in μB/cell: 0.0

Geometry as Quantum ESPRESSO input:
```
&SYSTEM
  ibrav = 0, nat = 5, ntyp = 4
/
ATOMIC_SPECIES
Hf 178.49 Hf.upf
Cu 63.55 Cu.upf
Ti 47.87 Ti.upf
O 16.00 O.upf
CELL_PARAMETERS angstrom
5.216 0.000 0.000
0.000 3.639 0.000
0.000 0.000 5.216
ATOMIC_POSITIONS crystal
Hf 0.500 0.000 0.000
Hf 0.000 0.000 0.500
Cu 0.500 0.500 0.500
Ti 0.000 0.000 0.000
O 0.000 0.500 0.000
```

---

#b
Hf2TiCuO: relaxed, PBE. Values from VASP.

Values from the calculation:
ρ in kg/m3: 10410
SG: P4/mmm, No. 123
Size of the total moment in μB/cell: 0.3

Geometry as Quantum ESPRESSO input:
```
&SYSTEM
  ibrav = 0, nat = 5, ntyp = 4
/
ATOMIC_SPECIES
O 16.00 O.upf
Hf 178.49 Hf.upf
Cu 63.55 Cu.upf
Ti 47.87 Ti.upf
CELL_PARAMETERS angstrom
4.384 0.000 0.000
0.000 4.384 0.000
0.000 0.000 4.020
ATOMIC_POSITIONS crystal
O 0.000 0.000 0.000
Hf 0.000 0.500 0.000
Cu 0.500 0.500 0.500
Ti 0.000 0.000 0.500
Hf 0.500 0.000 0.000
```

---

Bottom line: #b, by a margin of 1230 meV per atom.